[1]
Below is a PBEsol-optimized structure of YTlSb3, with properties calculated at the meta-GGA SCAN level.

Cell lengths 5.704, 5.704, 5.704 Å; angles 90.00, 90.00, 90.00 degrees
Positions (direct):
Sb: 0.000 0.000 0.500
Sb: 0.000 0.500 0.000
Sb: 0.500 0.000 0.000
Tl: 0.500 0.500 0.500
Y: 0.000 0.000 0.000

Values from the calculation:
Energy relative to the elements, uncorrected (eV per atom): 0.184
Calculated total energy (eV for the cell shown): -211.06
SG: No. 221


[2]
Below is a PBEsol-optimized structure of LiFe2ReSb, with properties calculated at the meta-GGA SCAN level.

Cell lengths 4.295, 4.568, 4.568 Å; angles 90.00, 90.00, 90.00 degrees
Each line ends with the local moment (μB).
Positions (direct):
Fe: 0.000 0.000 0.500  2.63
Fe: 0.000 0.500 0.000  2.63
Li: 0.500 0.000 0.000  -0.01
Sb: 0.000 0.000 0.000  -0.04
Re: 0.500 0.500 0.500  1.73

Values from the calculation:
Energy relative to the elements, uncorrected (eV per atom): 1.703
Calculated total energy (eV for the cell shown): -138.49
SG: No. 123


[3]
Below is a PBEsol-optimized structure of Tc2ClF2, with properties calculated at the meta-GGA SCAN level.

Cell lengths 3.902, 3.902, 5.389 Å; angles 111.23, 111.23, 90.00 degrees
Each line ends with the local moment (μB).
Positions (direct):
Tc: 0.605 0.605 0.211  0.53
Tc: 0.395 0.395 0.789  0.53
F: 0.750 0.250 0.500  0.00
F: 0.250 0.750 0.500  0.00
Cl: 0.000 0.000 0.000  0.06

Values from the calculation:
Energy relative to the elements, uncorrected (eV per atom): -0.703
Calculated total energy (eV for the cell shown): -88.69
SG: No. 139


> Number 2 is which compound?

LiFe2ReSb


Please write out number 1 again, unchanged.
Below is a PBEsol-optimized structure of YTlSb3, with properties calculated at the meta-GGA SCAN level.

Cell lengths 5.704, 5.704, 5.704 Å; angles 90.00, 90.00, 90.00 degrees
Positions (direct):
Sb: 0.000 0.000 0.500
Sb: 0.000 0.500 0.000
Sb: 0.500 0.000 0.000
Tl: 0.500 0.500 0.500
Y: 0.000 0.000 0.000

Values from the calculation:
Energy relative to the elements, uncorrected (eV per atom): 0.184
Calculated total energy (eV for the cell shown): -211.06
SG: No. 221


> What is the energy relative to the elements, uncorrected in the second record?

1.703 eV per atom